Material: Pr5Sm
Method: DFT, GGA-PBE
State: optimized geometry

Properties
Calculated density (g/cm³): 6.63
E above lowest polymorph (meV per atom): 86
Total magnetic moment (μB/cell): 0.0
Formation enthalpy at 0 K (kJ per mole of atoms): 9.4

```
data_Pr5Sm
_cell_length_a 6.188
_cell_length_b 11.244
_cell_length_c 6.153
_cell_angle_alpha 90.00
_cell_angle_beta 90.00
_cell_angle_gamma 90.00
_space_group_name_H-M_alt 'C m m m'
_space_group_IT_number 65
_space_group_name_Hall '-C 2 2'
loop_
_atom_site_label
_atom_site_type_symbol
_atom_site_fract_x
_atom_site_fract_y
_atom_site_fract_z
Pr1 Pr 0.000 0.000 0.000
Pr2 Pr 0.000 0.165 0.500
Pr3 Pr 0.000 0.336 0.000
Sm1 Sm 0.000 0.500 0.500
```

=====

Material: Rb5Pt
Method: DFT, GGA-PBE
State: optimized geometry

Properties
Calculated density (g/cm³): 2.58
E above lowest polymorph (meV per atom): 0
Total magnetic moment (μB/cell): 0.0
Formation enthalpy at 0 K (kJ per mole of atoms): 8.5

```
data_Rb5Pt
_cell_length_a 4.452
_cell_length_b 32.138
_cell_length_c 5.598
_cell_angle_alpha 90.00
_cell_angle_beta 90.00
_cell_angle_gamma 90.00
_space_group_name_H-M_alt 'C m m m'
_space_group_IT_number 65
_space_group_name_Hall '-C 2 2'
loop_
_atom_site_label
_atom_site_type_symbol
_atom_site_fract_x
_atom_site_fract_y
_atom_site_fract_z
Rb1 Rb 0.000 0.000 0.000
Rb2 Rb 0.000 0.079 0.500
Rb3 Rb 0.000 0.315 0.000
Pt1 Pt 0.000 0.500 0.500
```

=====

Material: Pm2TmRh
Method: DFT, GGA-PBE
State: optimized geometry

Properties
Calculated density (g/cm³): 8.41
E above lowest polymorph (meV per atom): 197
Total magnetic moment (μB/cell): 0.6
Formation enthalpy at 0 K (kJ per mole of atoms): -26.8

```
data_Pm2TmRh
_cell_length_a 3.590
_cell_length_b 3.590
_cell_length_c 8.613
_cell_angle_alpha 90.00
_cell_angle_beta 90.00
_cell_angle_gamma 90.00
_space_group_name_H-M_alt 'P 4/m m m'
_space_group_IT_number 123
_space_group_name_Hall '-P 4 2'
loop_
_atom_site_label
_atom_site_type_symbol
_atom_site_fract_x
_atom_site_fract_y
_atom_site_fract_z
Pm1 Pm 0.000 0.000 0.193
Tm1 Tm 0.500 0.500 0.500
Rh1 Rh 0.500 0.500 0.000
```

=====

Question: Which of these has the highest calculated density?
Answer: Pm2TmRh